[1]
Below is a relaxed CeHf3 crystal, with properties calculated at the PBE-GGA level.

Output
Energy relative to the elements (eV/atom): 0.1220
DOS at the Fermi energy (states/eV per atom): 1.60
Energy relative to the lowest polymorph listed for this composition (eV/atom): 0.000

Geometry as POSCAR:
```
CeHf3
1.0
3.1774 0.0000 0.0000
0.0000 5.2401 0.0000
0.0000 0.0000 5.7482
Hf Ce
3 1
direct
0.5000 0.0000 0.5289
0.5000 0.5000 0.8198
0.0000 0.0000 0.9967
0.0000 0.5000 0.3214
```

[2]
Below is a relaxed CeHf3 crystal, with properties calculated at the PBE-GGA level.

Output
Energy relative to the elements (eV/atom): 0.1285
DOS at the Fermi energy (states/eV per atom): 1.70
Energy relative to the lowest polymorph listed for this composition (eV/atom): 0.007

Geometry as POSCAR:
```
CeHf3
1.0
3.1692 0.0000 0.0000
0.0000 5.6995 0.0000
-1.5846 -2.8497 5.2502
Ce Hf
1 3
direct
0.0000 0.0162 0.0000
0.2413 0.5545 0.4827
0.7587 0.0718 0.5173
0.5000 0.5242 0.0000
```

[3]
Below is a relaxed CeHf3 crystal, with properties calculated at the PBE-GGA level.

Output
Energy relative to the elements (eV/atom): 0.1551
DOS at the Fermi energy (states/eV per atom): 1.64
Energy relative to the lowest polymorph listed for this composition (eV/atom): 0.033

Geometry as POSCAR:
```
CeHf3
1.0
-0.4685 2.5431 3.7543
2.9500 -2.6954 2.1939
3.4437 2.6550 -1.3687
Hf Ce
3 1
direct
0.5000 0.0000 0.5000
0.5000 0.5000 0.0000
0.0000 0.5000 0.5000
0.0000 0.0000 0.0000
```

[4]
Below is a relaxed CeHf3 crystal, with properties calculated at the PBE-GGA level.

Output
Energy relative to the elements (eV/atom): 0.1294
DOS at the Fermi energy (states/eV per atom): 1.56
Energy relative to the lowest polymorph listed for this composition (eV/atom): 0.007

Geometry as POSCAR:
```
CeHf3
1.0
-0.1397 3.4036 3.0543
-0.5074 -3.0484 3.3739
4.7997 -0.4098 -2.7506
Hf Ce
3 1
direct
0.5000 0.5000 0.0000
0.7500 0.2500 0.5000
0.2500 0.7500 0.5000
0.0000 0.0000 0.0000
```

[5]
Below is a relaxed CeHf crystal, with properties calculated at the PBE-GGA level.

Output
Energy relative to the elements (eV/atom): 0.3189
DOS at the Fermi energy (states/eV per atom): 2.95

Geometry as POSCAR:
```
CeHf
1.0
-0.3910 -3.5946 0.7821
3.5845 -0.5491 -0.7316
0.8270 0.6804 3.5410
Hf Ce
1 1
direct
0.5000 0.5000 0.5000
0.0000 0.0000 0.0000
```

[6]
Below is a relaxed CeHfHg2 crystal, with properties calculated at the PBE-GGA level.

Output
Energy relative to the elements (eV/atom): -0.1517
DOS at the Fermi energy (states/eV per atom): 1.82
Energy relative to the lowest polymorph listed for this composition (eV/atom): 0.000

Geometry as POSCAR:
```
CeHfHg2
1.0
3.2306 0.0000 0.0000
0.0000 3.2306 0.0000
0.0000 0.0000 8.8903
Ce Hg Hf
1 2 1
direct
0.5000 0.5000 0.5000
0.0000 0.0000 0.7697
0.0000 0.0000 0.2303
0.5000 0.5000 0.0000
```

[7]
Below is a relaxed CeHfHg2 crystal, with properties calculated at the PBE-GGA level.

Output
Energy relative to the elements (eV/atom): -0.0663
DOS at the Fermi energy (states/eV per atom): 1.55
Energy relative to the lowest polymorph listed for this composition (eV/atom): 0.085

Geometry as POSCAR:
```
CeHfHg2
1.0
-0.4636 -0.4487 4.5139
4.5019 -0.6122 0.4015
0.5666 4.4974 0.5052
Hg Hf Ce
2 1 1
direct
0.0000 0.5000 0.0000
0.0000 0.0000 0.5000
0.5000 0.0000 0.0000
0.5000 0.5000 0.5000
```

[8]
Below is a relaxed CeHfHg2 crystal, with properties calculated at the PBE-GGA level.

Output
Energy relative to the elements (eV/atom): -0.0624
DOS at the Fermi energy (states/eV per atom): 1.98
Energy relative to the lowest polymorph listed for this composition (eV/atom): 0.089

Geometry as POSCAR:
```
CeHfHg2
1.0
5.1878 0.0000 0.0000
2.5939 4.4928 0.0000
2.5939 1.4976 4.2359
Ce Hf Hg
1 1 2
direct
0.0000 0.0000 0.0000
0.5000 0.5000 0.5000
0.2500 0.2500 0.2500
0.7500 0.7500 0.7500
```

[9]
Below is a relaxed CeHoHf crystal, with properties calculated at the PBE-GGA level.

Output
Energy relative to the elements (eV/atom): 0.1366
DOS at the Fermi energy (states/eV per atom): 1.71
Energy relative to the lowest polymorph listed for this composition (eV/atom): 0.029

Geometry as POSCAR:
```
CeHoHf
1.0
3.3335 0.0000 0.0000
-1.6668 2.8869 0.0000
0.0000 0.0000 8.2799
Ce Hf Ho
1 1 1
direct
0.6667 0.3333 0.3467
0.3333 0.6667 0.6646
0.0000 0.0000 0.9888
```

[10]
Below is a relaxed CeHoHf crystal, with properties calculated at the PBE-GGA level.

Output
Energy relative to the elements (eV/atom): 0.1373
DOS at the Fermi energy (states/eV per atom): 2.01
Energy relative to the lowest polymorph listed for this composition (eV/atom): 0.030

Geometry as POSCAR:
```
CeHoHf
1.0
3.2759 0.0000 0.0000
0.0000 3.2759 0.0000
-1.6380 -1.6380 7.5441
Ho Ce Hf
1 1 1
direct
0.0095 0.0095 0.0189
0.3245 0.3245 0.6489
0.6661 0.6661 0.3321
```

[11]
Below is a relaxed CeHoHf crystal, with properties calculated at the PBE-GGA level.

Output
Energy relative to the elements (eV/atom): 0.1077
DOS at the Fermi energy (states/eV per atom): 1.86
Energy relative to the lowest polymorph listed for this composition (eV/atom): 0.000

Geometry as POSCAR:
```
CeHoHf
1.0
-2.8836 1.2658 -0.9569
-1.3774 -2.9821 0.2059
-3.5706 2.6327 14.2428
Ce Ho Hf
2 2 2
direct
0.0000 0.5000 0.2327
0.5000 0.0000 0.7673
0.0000 0.5000 0.5889
0.5000 0.0000 0.4111
0.0000 0.5000 0.9299
0.5000 0.0000 0.0701
```

[12]
Below is a relaxed CeHoLuHf crystal, with properties calculated at the PBE-GGA level.

Output
Energy relative to the elements (eV/atom): 0.2325
DOS at the Fermi energy (states/eV per atom): 2.06

Geometry as POSCAR:
```
CeHoLuHf
1.0
5.3839 0.0000 0.0000
2.6919 4.6626 0.0000
2.6919 1.5542 4.3959
Lu Ho Hf Ce
1 1 1 1
direct
0.7500 0.7500 0.7500
0.0000 0.0000 0.0000
0.2500 0.2500 0.2500
0.5000 0.5000 0.5000
```

[13]
Below is a relaxed CeHoHfN3 crystal, with properties calculated at the PBE-GGA level.

Output
DOS at the Fermi energy (states/eV per atom): 0.66
E_form (uncorrected) (kcal/mol of atoms): -36.91

Geometry as POSCAR:
```
CeHoHfN3
1.0
-0.1371 -3.3819 0.3869
3.1323 -0.6874 -4.8984
6.2153 0.4591 6.2159
Ho Hf N Ce
2 2 6 2
direct
0.7500 0.2311 0.9544
0.2500 0.7689 0.0456
0.7500 0.8644 0.3611
0.2500 0.1356 0.6389
0.2500 0.4428 0.8247
0.7500 0.5572 0.1753
0.2500 0.7616 0.4864
0.2500 0.9535 0.8320
0.7500 0.0465 0.1680
0.7500 0.2384 0.5136
0.2500 0.3516 0.3108
0.7500 0.6484 0.6892
```

[14]
Below is a relaxed Ce2HoHfN4 crystal, with properties calculated at the PBE-GGA level.

Output
DOS at the Fermi energy (states/eV per atom): 0.67
E_form (uncorrected) (kcal/mol of atoms): -37.96

Geometry as POSCAR:
```
Ce2HoHfN4
1.0
3.4056 0.0000 0.0000
0.0000 5.9226 0.1095
0.0000 -2.0642 5.6618
N Ce Hf Ho
4 2 1 1
direct
0.5000 0.2277 0.2230
0.0000 0.7599 0.2309
0.5000 0.7723 0.7770
0.0000 0.2401 0.7691
0.5000 0.0000 0.5000
0.0000 0.5000 0.5000
0.0000 0.0000 0.0000
0.5000 0.5000 0.0000
```

[15]
Below is a relaxed CeHo2Hf3N6 crystal, with properties calculated at the PBE-GGA level.

Output
DOS at the Fermi energy (states/eV per atom): 0.39
E_form (uncorrected) (kcal/mol of atoms): -40.67

Geometry as POSCAR:
```
CeHo2Hf3N6
1.0
3.3079 0.0000 0.0000
0.0000 6.7223 0.1806
-1.6540 -2.0005 7.0307
Hf N Ho Ce
3 6 2 1
direct
0.1677 0.8331 0.3355
0.5000 0.5000 0.0000
0.8323 0.1669 0.6645
0.3254 0.9281 0.6507
0.9946 0.2705 0.9893
0.0054 0.7295 0.0107
0.6626 0.5961 0.3252
0.6746 0.0719 0.3493
0.3374 0.4039 0.6748
0.8326 0.6660 0.6653
0.1674 0.3340 0.3347
0.5000 0.0000 0.0000
```

[16]
Below is a relaxed CeHo2HfN4 crystal, with properties calculated at the PBE-GGA level.

Output
DOS at the Fermi energy (states/eV per atom): 0.48
E_form (uncorrected) (kcal/mol of atoms): -38.76

Geometry as POSCAR:
```
CeHo2HfN4
1.0
-2.7691 -1.3129 1.4797
-0.2914 -4.1551 -4.2321
3.3162 -1.9912 4.4391
N Ho Hf Ce
4 2 1 1
direct
0.5000 0.7686 0.7665
0.0000 0.7657 0.2424
0.0000 0.2343 0.7576
0.5000 0.2314 0.2335
0.0000 0.5000 0.5000
0.5000 0.0000 0.5000
0.0000 0.0000 0.0000
0.5000 0.5000 0.0000
```

[17]
Below is a relaxed Ce3HoHf2P6 crystal, with properties calculated at the PBE-GGA level.

Output
Energy relative to the elements (eV/atom): -1.4639
DOS at the Fermi energy (states/eV per atom): 0.92

Geometry as POSCAR:
```
Ce3HoHf2P6
1.0
6.7934 -0.0017 -0.0008
-3.3966 5.8834 -0.0008
-1.1337 -1.9630 6.4206
P Ce Hf Ho
6 3 2 1
direct
0.0778 0.4209 0.2328
0.5791 0.9222 0.7672
0.9222 0.5791 0.7672
0.4209 0.0778 0.2328
0.7330 0.7330 0.2292
0.2670 0.2670 0.7708
0.1635 0.8365 0.5000
0.5000 0.5000 0.5000
0.8365 0.1635 0.5000
0.6675 0.3325 0.0000
0.3325 0.6675 0.0000
0.0000 0.0000 0.0000
```

[18]
Below is a relaxed CeHo2HfP4 crystal, with properties calculated at the PBE-GGA level.

Output
Energy relative to the elements (eV/atom): -1.4874
DOS at the Fermi energy (states/eV per atom): 0.69

Geometry as POSCAR:
```
CeHo2HfP4
1.0
3.9275 0.0000 0.0000
0.0000 6.8059 0.1294
0.0000 -2.3675 6.3730
P Ho Hf Ce
4 2 1 1
direct
0.5000 0.2357 0.2384
0.5000 0.7643 0.7616
0.0000 0.7606 0.2464
0.0000 0.2394 0.7536
0.0000 0.5000 0.5000
0.5000 0.0000 0.5000
0.0000 0.0000 0.0000
0.5000 0.5000 0.0000
```

[19]
Below is a relaxed CePmHoHf crystal, with properties calculated at the PBE-GGA level.

Output
Energy relative to the elements (eV/atom): 0.2669
DOS at the Fermi energy (states/eV per atom): 2.10

Geometry as POSCAR:
```
CePmHoHf
1.0
5.4486 0.0000 0.0000
2.7243 4.7186 0.0000
2.7243 1.5729 4.4488
Pm Hf Ce Ho
1 1 1 1
direct
0.7500 0.7500 0.7500
0.5000 0.5000 0.5000
0.2500 0.2500 0.2500
0.0000 0.0000 0.0000
```

[20]
Below is a relaxed CeHoHfTh crystal, with properties calculated at the PBE-GGA level.

Output
Energy relative to the elements (eV/atom): 0.2321
DOS at the Fermi energy (states/eV per atom): 2.48

Geometry as POSCAR:
```
CeHoHfTh
1.0
-0.2057 -3.8168 3.8661
4.5633 -1.6033 2.4825
0.8843 1.3413 5.1939
Th Ce Ho Hf
1 1 1 1
direct
0.7500 0.7500 0.7500
0.2500 0.2500 0.2500
0.0000 0.0000 0.0000
0.5000 0.5000 0.5000
```

[21]
Below is a relaxed CeHoTmHf crystal, with properties calculated at the PBE-GGA level.

Output
Energy relative to the elements (eV/atom): 0.2463
DOS at the Fermi energy (states/eV per atom): 2.26

Geometry as POSCAR:
```
CeHoTmHf
1.0
5.3954 0.0000 0.0000
2.6977 4.6726 0.0000
2.6977 1.5575 4.4053
Ho Ce Tm Hf
1 1 1 1
direct
0.0000 0.0000 0.0000
0.5000 0.5000 0.5000
0.7500 0.7500 0.7500
0.2500 0.2500 0.2500
```

[22]
Below is a relaxed CeHf2In crystal, with properties calculated at the PBE-GGA level.

Output
Energy relative to the elements (eV/atom): 0.1863
DOS at the Fermi energy (states/eV per atom): 1.16
Energy relative to the lowest polymorph listed for this composition (eV/atom): 0.241

Geometry as POSCAR:
```
CeHf2In
1.0
3.1027 0.0000 0.0000
1.5513 2.6870 0.0000
1.5513 0.8957 11.2841
In Ce Hf
1 1 2
direct
0.5000 0.5000 0.5000
0.0000 0.0000 0.0000
0.9096 0.9096 0.2711
0.0904 0.0904 0.7289
```

[23]
Below is a relaxed Ce6HfIn5 crystal, with properties calculated at the PBE-GGA level.

Output
Energy relative to the elements (eV/atom): -0.2550
DOS at the Fermi energy (states/eV per atom): 2.37

Geometry as POSCAR:
```
Ce6HfIn5
1.0
5.9027 0.0235 -0.0206
-0.0168 6.0120 2.4626
-0.1219 -0.1246 8.8656
Hf In Ce
1 5 6
direct
0.0000 0.0000 0.0000
0.6947 0.1650 0.6696
0.3162 0.3378 0.3244
0.3053 0.8350 0.3304
0.0000 0.5000 0.0000
0.6838 0.6622 0.6756
0.5003 0.2159 0.0004
0.4997 0.7841 0.9996
0.8147 0.0861 0.3263
0.1849 0.4127 0.6733
0.8151 0.5873 0.3267
0.1853 0.9139 0.6737
```

[24]
Below is a relaxed CeHf2In crystal, with properties calculated at the PBE-GGA level.

Output
Energy relative to the elements (eV/atom): 0.0098
DOS at the Fermi energy (states/eV per atom): 1.63
Energy relative to the lowest polymorph listed for this composition (eV/atom): 0.064

Geometry as POSCAR:
```
CeHf2In
1.0
3.1117 0.0000 0.0000
0.0000 3.1117 0.0000
0.0000 0.0000 9.6957
In Hf Ce
1 2 1
direct
0.5000 0.5000 0.0000
0.0000 0.0000 0.2358
0.0000 0.0000 0.7642
0.5000 0.5000 0.5000
```

[25]
Below is a relaxed CeHfIn2 crystal, with properties calculated at the PBE-GGA level.

Output
Energy relative to the elements (eV/atom): -0.1611
DOS at the Fermi energy (states/eV per atom): 1.57

Geometry as POSCAR:
```
CeHfIn2
1.0
-2.8234 -3.2970 1.6514
3.3173 -1.4091 2.8584
-1.5282 2.9173 3.2117
Ce In Hf
1 2 1
direct
0.5000 0.5000 0.5000
0.0000 0.5000 0.0000
0.0000 0.0000 0.5000
0.5000 0.0000 0.0000
```

[26]
Below is a relaxed Ce4HfIn5 crystal, with properties calculated at the PBE-GGA level.

Output
Energy relative to the elements (eV/atom): -0.3149
DOS at the Fermi energy (states/eV per atom): 2.09

Geometry as POSCAR:
```
Ce4HfIn5
1.0
3.2657 0.0000 0.0000
0.0000 3.2657 0.0000
0.0000 0.0000 23.8334
In Ce Hf
5 4 1
direct
0.5000 0.5000 0.9115
0.5000 0.5000 0.0885
0.5000 0.5000 0.5000
0.5000 0.5000 0.2942
0.5000 0.5000 0.7058
0.0000 0.0000 0.6030
0.0000 0.0000 0.1913
0.0000 0.0000 0.8087
0.0000 0.0000 0.3970
0.0000 0.0000 0.0000
```

[27]
Below is a relaxed CeHfIn2 crystal, with properties calculated at the PBE-GGA level.

Output
Energy relative to the elements (eV/atom): -0.2545
DOS at the Fermi energy (states/eV per atom): 1.40

Geometry as POSCAR:
```
CeHfIn2
1.0
3.1931 0.0000 0.0000
0.0000 3.1931 0.0000
0.0000 0.0000 9.3528
In Hf Ce
2 1 1
direct
0.0000 0.0000 0.7682
0.0000 0.0000 0.2318
0.5000 0.5000 0.0000
0.5000 0.5000 0.5000
```

[28]
Below is a relaxed CeHf2In crystal, with properties calculated at the PBE-GGA level.

Output
Energy relative to the elements (eV/atom): -0.0545
DOS at the Fermi energy (states/eV per atom): 1.59
Energy relative to the lowest polymorph listed for this composition (eV/atom): 0.000

Geometry as POSCAR:
```
CeHf2In
1.0
4.3488 0.0000 0.0000
0.0000 4.6490 0.0000
0.0000 0.0000 4.6490
Ce In Hf
1 1 2
direct
0.5000 0.0000 0.0000
0.5000 0.5000 0.5000
0.0000 0.5000 0.0000
0.0000 0.0000 0.5000
```